1.
Material: Na3GeS4
Method: DFT, PBE-GGA
State: relaxed Values from VASP.

Output
**DFT total energy**: -30.62 eV per cell
**Symmetry**: I-42m, No. 121

```
&SYSTEM
  ibrav = 0, nat = 8, ntyp = 3
/
ATOMIC_SPECIES
Na 22.99 Na.upf
Ge 72.64 Ge.upf
S 32.06 S.upf
CELL_PARAMETERS angstrom
-5.3435 -0.6856 3.1255
0.2384 -6.1521 -0.9419
5.5141 2.7799 3.8312
ATOMIC_POSITIONS crystal
Na 0.5000 0.5000 0.0000
Na 0.7500 0.2500 0.5000
Na 0.2500 0.7500 0.5000
Ge 0.0000 0.0000 0.0000
S 0.3172 0.3172 0.2183
S 0.9011 0.9011 0.2183
S 0.0989 0.6828 0.7817
S 0.6828 0.0989 0.7817
```

---

2.
Material: NaGe2S
Method: DFT, PBE-GGA
State: relaxed Values from VASP.

Output
**DFT total energy**: -29.42 eV per cell
**Symmetry**: I-42d, No. 122

```
&SYSTEM
  ibrav = 0, nat = 8, ntyp = 3
/
ATOMIC_SPECIES
Na 22.99 Na.upf
Ge 72.64 Ge.upf
S 32.06 S.upf
CELL_PARAMETERS angstrom
-0.0554 -7.3057 -3.4828
6.3154 2.1391 -4.5876
4.8286 -3.5058 -2.1271
ATOMIC_POSITIONS crystal
Na 0.5000 0.5000 0.0000
Na 0.2500 0.7500 0.5000
Ge 0.6798 0.1250 0.2500
Ge 0.0702 0.6250 0.2500
Ge 0.3750 0.3202 0.7500
Ge 0.8750 0.9298 0.7500
S 0.0000 0.0000 0.0000
S 0.7500 0.2500 0.5000
```

---

3.
Material: NaGeS2
Method: DFT, PBE-GGA
State: relaxed Values from VASP.

Output
**DFT total energy**: -32.91 eV per cell
**Symmetry**: P2/m, No. 10

```
&SYSTEM
  ibrav = 0, nat = 8, ntyp = 3
/
ATOMIC_SPECIES
Na 22.99 Na.upf
Ge 72.64 Ge.upf
S 32.06 S.upf
CELL_PARAMETERS angstrom
4.3685 0.0000 0.0000
0.0000 6.3199 -0.0461
0.0000 -0.1418 7.3173
ATOMIC_POSITIONS crystal
Na 0.0000 0.0000 0.0000
Na 0.5000 0.0000 0.5000
Ge 0.5000 0.6315 0.1897
Ge 0.5000 0.3685 0.8103
S 0.0000 0.2714 0.6972
S 0.5000 0.2706 0.1204
S 0.5000 0.7294 0.8796
S 0.0000 0.7286 0.3028
```

---

4.
Material: Na3Ge2S4
Method: DFT, PBE-GGA
State: relaxed Values from VASP.

Output
**DFT total energy**: -72.21 eV per cell
**Symmetry**: C2/c, No. 15
**Energy relative to the lowest polymorph listed for this composition**: 0.00 eV/f.u.

```
&SYSTEM
  ibrav = 0, nat = 18, ntyp = 3
/
ATOMIC_SPECIES
Na 22.99 Na.upf
Ge 72.64 Ge.upf
S 32.06 S.upf
CELL_PARAMETERS angstrom
7.8937 0.1200 -0.3187
-0.2515 6.8082 -3.6646
0.2242 0.0201 8.1871
ATOMIC_POSITIONS crystal
Na 0.1519 0.7911 0.7583
Na 0.3481 0.0328 0.2417
Na 0.8481 0.2089 0.2417
Na 0.6519 0.9672 0.7583
Na 0.7500 0.5127 0.0000
Na 0.2500 0.4873 0.0000
Ge 0.5220 0.5445 0.3726
Ge 0.9780 0.1719 0.6274
Ge 0.4780 0.4555 0.6274
Ge 0.0220 0.8281 0.3726
S 0.4977 0.7205 0.9024
S 0.0023 0.8181 0.0976
S 0.5023 0.2795 0.0976
S 0.9977 0.1819 0.9024
S 0.8243 0.6436 0.4278
S 0.6757 0.2158 0.5722
S 0.1757 0.3564 0.5722
S 0.3243 0.7842 0.4278
```

---

5.
Material: Na4GeS4
Method: DFT, PBE-GGA
State: relaxed Values from VASP.

Output
**DFT total energy**: -34.61 eV per cell
**Symmetry**: I-42m, No. 121

```
&SYSTEM
  ibrav = 0, nat = 9, ntyp = 3
/
ATOMIC_SPECIES
Na 22.99 Na.upf
Ge 72.64 Ge.upf
S 32.06 S.upf
CELL_PARAMETERS angstrom
6.2443 -0.9412 -3.7836
-4.0754 6.1235 0.2931
-0.6264 0.9412 7.2742
ATOMIC_POSITIONS crystal
Na 0.5000 0.5000 0.0000
Na 0.5000 0.0000 0.5000
Na 0.0000 0.7002 0.7002
Na 0.0000 0.2998 0.2998
Ge 0.0000 0.0000 0.0000
S 0.6102 0.9221 0.9221
S 0.0000 0.0779 0.6881
S 0.3898 0.3119 0.3119
S 0.0000 0.6881 0.0779
```

---

6.
Material: Na3Ge2S4
Method: DFT, PBE-GGA
State: relaxed Values from VASP.

Output
**DFT total energy**: -71.52 eV per cell
**Symmetry**: C2/c, No. 15
**Energy relative to the lowest polymorph listed for this composition**: 0.35 eV/f.u.

```
&SYSTEM
  ibrav = 0, nat = 18, ntyp = 3
/
ATOMIC_SPECIES
Na 22.99 Na.upf
Ge 72.64 Ge.upf
S 32.06 S.upf
CELL_PARAMETERS angstrom
-3.9638 -2.8706 -6.1348
6.4463 0.0711 -4.1140
3.2064 -6.8364 1.2113
ATOMIC_POSITIONS crystal
Na 0.0394 0.9971 0.2519
Na 0.4606 0.7481 0.0029
Na 0.9606 0.0029 0.7481
Na 0.5394 0.2519 0.9971
Na 0.2500 0.6036 0.3964
Na 0.7500 0.3964 0.6036
Ge 0.3898 0.1882 0.4515
Ge 0.1102 0.5485 0.8118
Ge 0.6102 0.8118 0.5485
Ge 0.8898 0.4515 0.1882
S 0.4073 0.9670 0.2843
S 0.0927 0.7157 0.0330
S 0.5927 0.0330 0.7157
S 0.9073 0.2843 0.9670
S 0.0640 0.2809 0.4259
S 0.4360 0.5741 0.7191
S 0.9360 0.7191 0.5741
S 0.5640 0.4259 0.2809
```

---

7.
Material: NaGeS3
Method: DFT, PBE-GGA
State: relaxed Values from VASP.

Output
**DFT total energy**: -84.27 eV per cell
**Symmetry**: P2_1/c, No. 14
**Energy relative to the lowest polymorph listed for this composition**: 0.00 eV/f.u.

```
&SYSTEM
  ibrav = 0, nat = 20, ntyp = 3
/
ATOMIC_SPECIES
Na 22.99 Na.upf
Ge 72.64 Ge.upf
S 32.06 S.upf
CELL_PARAMETERS angstrom
7.2263 0.0000 0.0000
0.0000 9.7301 1.1609
0.0000 -2.0965 7.3081
ATOMIC_POSITIONS crystal
Na 0.8626 0.1356 0.6424
Na 0.1374 0.8644 0.3576
Na 0.3626 0.3644 0.8576
Na 0.6374 0.6356 0.1424
Ge 0.1695 0.4990 0.3809
Ge 0.8305 0.5010 0.6191
Ge 0.6695 0.0010 0.1191
Ge 0.3305 0.9990 0.8809
S 0.0614 0.6574 0.6119
S 0.9386 0.3426 0.3881
S 0.5614 0.8426 0.8881
S 0.4386 0.1574 0.1119
S 0.5740 0.5930 0.5073
S 0.4260 0.4070 0.4927
S 0.0740 0.9070 0.9927
S 0.9260 0.0930 0.0073
S 0.2316 0.5864 0.1450
S 0.7684 0.4136 0.8550
S 0.7316 0.9136 0.3550
S 0.2684 0.0864 0.6450
```

---

8.
Material: NaGeS2
Method: DFT, PBE-GGA
State: relaxed Values from VASP.

Output
**DFT total energy**: -33.96 eV per cell
**Symmetry**: Pm, No. 6

```
&SYSTEM
  ibrav = 0, nat = 8, ntyp = 3
/
ATOMIC_SPECIES
Na 22.99 Na.upf
Ge 72.64 Ge.upf
S 32.06 S.upf
CELL_PARAMETERS angstrom
3.6522 0.0089 -0.0110
-0.0174 8.5801 1.2804
0.0155 1.9109 6.6352
ATOMIC_POSITIONS crystal
Na 0.5316 0.2042 0.7273
Na 0.5317 0.7038 0.7286
Ge 0.0326 0.0491 0.3351
Ge 0.0326 0.3579 0.1205
S 0.5325 0.9432 0.2184
S 0.5325 0.4638 0.2373
S 0.0319 0.4390 0.7783
S 0.0318 0.9689 0.6772
```

---

9.
Material: Na5Ge2S5
Method: DFT, PBE-GGA
State: relaxed Values from VASP.

Output
**DFT total energy**: -45.67 eV per cell
**Symmetry**: C2/m, No. 12

```
&SYSTEM
  ibrav = 0, nat = 12, ntyp = 3
/
ATOMIC_SPECIES
Na 22.99 Na.upf
Ge 72.64 Ge.upf
S 32.06 S.upf
CELL_PARAMETERS angstrom
4.2090 0.0000 0.0000
-2.1045 6.3886 -0.2287
0.0000 -3.4283 10.4807
ATOMIC_POSITIONS crystal
Na 0.5000 0.0000 0.5000
Na 0.6542 0.3083 0.0468
Na 0.7381 0.4762 0.3613
Na 0.2619 0.5238 0.6387
Na 0.3458 0.6917 0.9532
Ge 0.0536 0.1072 0.7947
Ge 0.9464 0.8928 0.2053
S 0.1014 0.2028 0.3903
S 0.6605 0.3210 0.7874
S 0.3395 0.6790 0.2126
S 0.8986 0.7972 0.6097
S 0.0000 0.0000 0.0000
```

---

10.
Material: Na3GeS
Method: DFT, PBE-GGA
State: relaxed Values from VASP.

Output
**DFT total energy**: -13.69 eV per cell
**Symmetry**: Pm-3m, No. 221
**Energy relative to the lowest polymorph listed for this composition**: 0.00 eV/f.u.

```
&SYSTEM
  ibrav = 0, nat = 5, ntyp = 3
/
ATOMIC_SPECIES
Na 22.99 Na.upf
Ge 72.64 Ge.upf
S 32.06 S.upf
CELL_PARAMETERS angstrom
-3.5624 3.8572 -0.1835
-3.7444 -3.5114 -1.1188
-0.9440 -0.6278 5.1300
ATOMIC_POSITIONS crystal
Na 0.0000 0.5000 0.0000
Na 0.0000 0.0000 0.5000
Na 0.5000 0.0000 0.0000
Ge 0.5000 0.5000 0.5000
S 0.0000 0.0000 0.0000
```

---

11.
Material: NaGeS2
Method: DFT, PBE-GGA
State: relaxed Values from VASP.

Output
**DFT total energy**: -32.58 eV per cell
**Symmetry**: I-42d, No. 122

```
&SYSTEM
  ibrav = 0, nat = 8, ntyp = 3
/
ATOMIC_SPECIES
Na 22.99 Na.upf
Ge 72.64 Ge.upf
S 32.06 S.upf
CELL_PARAMETERS angstrom
6.0788 0.0000 0.0000
0.0000 6.0788 0.0000
3.0394 3.0394 5.8432
ATOMIC_POSITIONS crystal
Na 0.5000 0.5000 0.0000
Na 0.2500 0.7500 0.5000
Ge 0.0000 0.0000 0.0000
Ge 0.7500 0.2500 0.5000
S 0.6862 0.1250 0.2500
S 0.0638 0.6250 0.2500
S 0.3750 0.3138 0.7500
S 0.8750 0.9362 0.7500
```

---

12.
Material: NaGeS3
Method: DFT, PBE-GGA
State: relaxed Values from VASP.

Output
**DFT total energy**: -14.13 eV per cell
**Symmetry**: Pm-3m, No. 221
**Energy relative to the lowest polymorph listed for this composition**: 6.93 eV/f.u.

```
&SYSTEM
  ibrav = 0, nat = 5, ntyp = 3
/
ATOMIC_SPECIES
Na 22.99 Na.upf
Ge 72.64 Ge.upf
S 32.06 S.upf
CELL_PARAMETERS angstrom
4.9058 0.0000 0.0000
0.0000 4.9058 0.0000
0.0000 0.0000 4.9058
ATOMIC_POSITIONS crystal
Na 0.0000 0.0000 0.0000
Ge 0.5000 0.5000 0.5000
S 0.0000 0.5000 0.0000
S 0.0000 0.0000 0.5000
S 0.5000 0.0000 0.0000
```